# Mn2Cu2Au | Alexandria via LeMat-Bulk | GGA-PBE | optimized geometry
data_Mn2Cu2Au
_symmetry_space_group_name_H-M 'P 4/m b m'
_symmetry_Int_Tables_number 127
_symmetry_space_group_name_Hall '-P 4 2ab'
_cell_length_a 6.8962
_cell_length_b 6.8962
_cell_length_c 3.0463
_cell_angle_alpha 90.00
_cell_angle_beta 90.00
_cell_angle_gamma 90.00
loop_
_atom_site_label
_atom_site_fract_x
_atom_site_fract_y
_atom_site_fract_z
Mn1 0.1701 0.3299 0.0000
Cu1 0.1259 0.6259 0.5000
Au1 0.0000 0.0000 0.5000
# - ΔE_f (eV/atom) = 0.131
# - DOS(E_F) (states/eV per cell) = 4.7
# - E above lowest polymorph (kcal/mol of atoms) = 0.00
# - total DFT energy (no corrections) (Ry per atom) = -0.4285
# - magnetic moment (μB per formula unit) = 7.91